[1]
{
  "formula": "Tl2CrAsS4",
  "functional": "PBE",
  "state": "relaxed",
  "cell": [[-3.595, 3.595, 3.963], [3.595, -3.595, 3.963], [3.595, 3.595, -3.963]],
  "species": ["Tl", "Tl", "Cr", "As", "S", "S", "S", "S"],
  "fractional_positions": [[0.000, 0.000, 0.000], [0.750, 0.250, 0.500], [0.250, 0.750, 0.500], [0.500, 0.500, 0.000], [0.218, 0.642, 0.109], [0.358, 0.466, 0.576], [0.534, 0.110, 0.891], [0.890, 0.782, 0.424]],
  "spacegroup": "I-4 (82)",
  "formation_energy_uncorrected_mev_per_atom": -256,
  "m_tot_mub_per_fu": 3.03
}

[2]
{
  "formula": "CrAsW2S",
  "functional": "PBE",
  "state": "relaxed",
  "cell": [[4.390, 0.000, 0.000], [0.000, 4.390, 0.000], [0.000, 0.000, 4.724]],
  "species": ["Cr", "As", "W", "W", "S"],
  "fractional_positions": [[0.000, 0.000, 0.000], [0.500, 0.500, 0.000], [0.000, 0.500, 0.500], [0.500, 0.000, 0.500], [0.500, 0.500, 0.500]],
  "spacegroup": "P4/mmm (123)",
  "formation_energy_uncorrected_mev_per_atom": 1548,
  "m_tot_mub_per_fu": 0.16
}

[3]
{
  "formula": "CrSbAs",
  "functional": "PBE",
  "state": "relaxed",
  "cell": [[4.281, 0.000, 0.000], [-2.140, 3.707, 0.000], [0.000, 0.000, 3.937]],
  "species": ["Cr", "Sb", "As"],
  "fractional_positions": [[0.000, 0.000, 0.000], [0.333, 0.667, 0.500], [0.667, 0.333, 0.000]],
  "spacegroup": "P-6m2 (187)",
  "formation_energy_uncorrected_mev_per_atom": 289,
  "m_tot_mub_per_fu": 2.87
}

[4]
{
  "formula": "Cr3SbAs2",
  "functional": "PBE",
  "state": "relaxed",
  "cell": [[8.683, 0.000, 0.000], [0.000, 3.698, 0.000], [-2.853, 0.000, 12.958]],
  "species": ["Cr", "Cr", "Cr", "Cr", "Cr", "Cr", "Cr", "Cr", "Cr", "Cr", "Cr", "Cr", "Sb", "Sb", "Sb", "Sb", "As", "As", "As", "As", "As", "As", "As", "As"],
  "fractional_positions": [[0.000, 0.000, 0.000], [0.023, 0.500, 0.508], [0.155, 0.500, 0.319], [0.212, 0.000, 0.852], [0.314, 0.000, 0.651], [0.355, 0.500, 0.176], [0.497, 0.500, 0.994], [0.555, 0.000, 0.518], [0.667, 0.000, 0.335], [0.702, 0.500, 0.848], [0.822, 0.500, 0.655], [0.886, 0.000, 0.183], [0.000, 0.500, 0.850], [0.333, 0.500, 0.510], [0.392, 0.500, 0.793], [0.667, 0.500, 0.187], [0.028, 0.000, 0.650], [0.054, 0.500, 0.131], [0.313, 0.000, 0.040], [0.368, 0.000, 0.317], [0.644, 0.000, 0.708], [0.705, 0.000, 0.988], [0.722, 0.500, 0.466], [0.980, 0.000, 0.372]],
  "spacegroup": "Pm (6)",
  "formation_energy_uncorrected_mev_per_atom": -65,
  "m_tot_mub_per_fu": 7.56
}

[5]
{
  "formula": "CrSbAs3",
  "functional": "PBE",
  "state": "relaxed",
  "cell": [[4.735, 0.000, 0.000], [0.000, 4.735, 0.000], [0.000, 0.000, 4.735]],
  "species": ["Cr", "Sb", "As", "As", "As"],
  "fractional_positions": [[0.000, 0.000, 0.000], [0.500, 0.500, 0.500], [0.000, 0.000, 0.500], [0.000, 0.500, 0.000], [0.500, 0.000, 0.000]],
  "spacegroup": "Pm-3m (221)",
  "formation_energy_uncorrected_mev_per_atom": 384,
  "m_tot_mub_per_fu": 1.04
}

[6]
{
  "formula": "Cr3SbAs",
  "functional": "PBE",
  "state": "relaxed",
  "cell": [[5.079, 0.000, 0.000], [0.000, 5.079, 0.000], [0.000, 0.000, 5.079]],
  "species": ["Cr", "Cr", "Cr", "Sb", "As"],
  "fractional_positions": [[0.000, 0.000, 0.500], [0.000, 0.500, 0.000], [0.500, 0.000, 0.000], [0.000, 0.000, 0.000], [0.500, 0.500, 0.500]],
  "spacegroup": "Pm-3m (221)",
  "formation_energy_uncorrected_mev_per_atom": 1126,
  "m_tot_mub_per_fu": 12.00,
  "polymorph_energy_mev_per_atom": 579
}